Material: Sr2LiPm3Se6
Method: DFT, PBE
State: relaxed

Computed properties:
Its raw total energy is -5.21 eV/atom. The calculation puts the density of states at the Fermi level at 3.15 states/eV/f.u. The value obtained for the formation energy (no corrections) is -22.08 eV per formula unit.

abc: 7.308 7.308 7.499
angles: 99.37 99.37 120.02
Fractional coordinates of all 12 atoms:
Sr 0.166 0.834 0.000
Sr 0.834 0.166 0.000
Li 0.500 0.500 0.000
Pm 0.000 0.000 0.500
Pm 0.332 0.668 0.500
Pm 0.668 0.332 0.500
Se 0.092 0.415 0.744
Se 0.262 0.262 0.258
Se 0.415 0.092 0.744
Se 0.585 0.908 0.256
Se 0.738 0.738 0.742
Se 0.908 0.585 0.256